# 1
A relaxed Ac3Si2Sn2 crystal. Source: the Alexandria database, functional GGA-PBE.

The structure in CIF format:
```
data_Ac3Si2Sn2
_chemical_formula_sum 'Ac3 Si2 Sn2'
_symmetry_space_group_name_H-M 'P 1'
_symmetry_Int_Tables_number 1
_symmetry_space_group_name_Hall 'P 1'
_cell_length_a 4.467
_cell_length_b 4.874
_cell_length_c 10.316
_cell_angle_alpha 103.66
_cell_angle_beta 102.50
_cell_angle_gamma 90.00
loop_
_atom_site_label
_atom_site_fract_x
_atom_site_fract_y
_atom_site_fract_z
_atom_site_occupancy
Sn1 0.855 0.355 0.711 1
Sn2 0.145 0.645 0.289 1
Ac1 0.323 0.823 0.645 1
Ac2 0.000 0.000 0.000 1
Ac3 0.677 0.177 0.355 1
Si1 0.560 0.560 0.121 1
Si2 0.440 0.440 0.879 1
```

Crystal system   orthorhombic


# 2
A relaxed Ac4SiSnTe2 crystal. Source: the Alexandria database, functional GGA-PBE.

The structure in CIF format:
```
data_Ac4SiSnTe2
_chemical_formula_sum 'Ac4 Si1 Sn1 Te2'
_symmetry_space_group_name_H-M 'P 1'
_symmetry_Int_Tables_number 1
_symmetry_space_group_name_Hall 'P 1'
_cell_length_a 4.722
_cell_length_b 8.228
_cell_length_c 8.275
_cell_angle_alpha 109.17
_cell_angle_beta 90.00
_cell_angle_gamma 90.00
loop_
_atom_site_label
_atom_site_fract_x
_atom_site_fract_y
_atom_site_fract_z
_atom_site_occupancy
Ac1 0.000 0.247 0.768 1
Ac2 0.000 0.753 0.232 1
Ac3 0.500 0.766 0.774 1
Ac4 0.500 0.234 0.226 1
Si1 0.000 0.000 0.000 1
Sn1 0.500 0.500 0.000 1
Te1 0.500 0.000 0.500 1
Te2 0.000 0.500 0.500 1
```

Crystal system   monoclinic


| no. | E_form (uncorrected) (eV/atom) |
| --- | --- |
| 1 | -0.58 |
| 2 | -1.11 |